# Rb2NbVO6 PBE+U optimized geometry
# VASP energy (eV/atom): -6.930
# Density (g/cm³): 4.8
data_Rb2NbVO6
_space_group_name_H-M_alt 'R -3 m'
_space_group_IT_number 166
_space_group_name_Hall '-R 3 2"'
_cell_length_a 5.8931
_cell_length_b 5.8931
_cell_length_c 28.5614
_cell_angle_alpha 90.00
_cell_angle_beta 90.00
_cell_angle_gamma 120.00
loop_
_atom_site_label
_atom_site_type_symbol
_atom_site_fract_x
_atom_site_fract_y
_atom_site_fract_z
Rb1 Rb 0.0000 0.0000 0.1301
Rb2 Rb 0.0000 0.0000 0.2832
Nb1 Nb 0.0000 0.0000 0.0000
Nb2 Nb 0.0000 0.0000 0.5000
V1 V 0.0000 0.0000 0.4052
O1 O 0.0062 0.5031 0.2942
O2 O 0.0468 0.5234 0.1184